(1)
The following is a GGA-PBE calculation of a relaxed structure of AsOs3, from Alexandria via LeMat-Bulk.

a = 3.893 Å, b = 3.893 Å, c = 3.893 Å
α = 90.00°, β = 90.00°, γ = 90.00°
Positions (direct):
As: 0.000 0.000 0.000
Os: 0.000 0.500 0.500
Os: 0.500 0.000 0.500
Os: 0.500 0.500 0.000

Values from the calculation:
The energy above the most stable polymorph in this dataset is 0.532 eV/atom. Its total magnetization is 1.03 μB per cell. The value obtained for the formation enthalpy at 0 K is 0.7836 eV per atom.

(2)
The following is a GGA-PBE calculation of a relaxed structure of MnB3Mo, from Alexandria via LeMat-Bulk.

a = 3.694 Å, b = 3.694 Å, c = 3.694 Å
α = 90.00°, β = 90.00°, γ = 90.00°
Positions (direct):
Mn: 0.000 0.000 0.000
B: 0.000 0.000 0.500
B: 0.000 0.500 0.000
B: 0.500 0.000 0.000
Mo: 0.500 0.500 0.500

Values from the calculation:
The energy above the most stable polymorph in this dataset is 1.227 eV/atom. Its total magnetization is 0.15 μB per cell. The value obtained for the formation enthalpy at 0 K is 0.8168 eV per atom.

(3)
The following is a GGA-PBE calculation of a relaxed structure of AcPmDy2P4, from Alexandria via LeMat-Bulk.

a = 7.192 Å, b = 4.152 Å, c = 7.196 Å
α = 90.00°, β = 109.40°, γ = 90.00°
Positions (direct):
Ac: 0.000 0.000 0.000
Pm: 0.000 0.500 0.500
Dy: 0.500 0.000 0.500
Dy: 0.500 0.500 0.000
P: 0.263 0.000 0.747
P: 0.268 0.500 0.263
P: 0.732 0.500 0.737
P: 0.737 0.000 0.253

Values from the calculation:
Its total magnetization is 0.00 μB per cell. The value obtained for the formation enthalpy at 0 K is -1.5223 eV per atom.

(4)
The following is a GGA-PBE calculation of a relaxed structure of Li2Zn2In, from Alexandria via LeMat-Bulk.

a = 7.307 Å, b = 7.307 Å, c = 3.208 Å
α = 90.00°, β = 90.00°, γ = 90.00°
Positions (direct):
Li: 0.146 0.354 0.000
Li: 0.354 0.854 0.000
Li: 0.646 0.146 0.000
Li: 0.854 0.646 0.000
Zn: 0.142 0.642 0.500
Zn: 0.358 0.142 0.500
Zn: 0.642 0.858 0.500
Zn: 0.858 0.358 0.500
In: 0.000 0.000 0.000
In: 0.500 0.500 0.000

Values from the calculation:
The energy above the most stable polymorph in this dataset is 0.131 eV/atom. Its total magnetization is 0.00 μB per cell. The value obtained for the formation enthalpy at 0 K is -0.0771 eV per atom.

(5)
The following is a GGA-PBE calculation of a relaxed structure of MgVH2, from Alexandria via LeMat-Bulk.

a = 5.398 Å, b = 5.398 Å, c = 5.398 Å
α = 31.95°, β = 31.95°, γ = 31.95°
Positions (direct):
Mg: 0.000 0.000 0.000
V: 0.500 0.500 0.500
H: 0.387 0.387 0.387
H: 0.613 0.613 0.613

Values from the calculation:
The energy above the most stable polymorph in this dataset is 0.132 eV/atom. Its total magnetization is 0.38 μB per cell.

(6)
The following is a GGA-PBE calculation of a relaxed structure of Ac6LaNd3, from Alexandria via LeMat-Bulk.

a = 11.435 Å, b = 5.946 Å, c = 12.507 Å
α = 90.00°, β = 94.13°, γ = 90.00°
Positions (direct):
Ac: 0.043 0.250 0.111
Ac: 0.158 0.250 0.748
Ac: 0.282 0.750 0.099
Ac: 0.307 0.750 0.536
Ac: 0.337 0.250 0.315
Ac: 0.347 0.750 0.819
Ac: 0.653 0.250 0.181
Ac: 0.663 0.750 0.685
Ac: 0.693 0.250 0.464
Ac: 0.718 0.250 0.901
Ac: 0.842 0.750 0.252
Ac: 0.957 0.750 0.889
La: 0.461 0.250 0.671
La: 0.539 0.750 0.329
Nd: 0.029 0.250 0.422
Nd: 0.126 0.750 0.311
Nd: 0.407 0.250 0.980
Nd: 0.593 0.750 0.020
Nd: 0.874 0.250 0.689
Nd: 0.971 0.750 0.578

Values from the calculation:
The energy above the most stable polymorph in this dataset is 0.000 eV/atom. Its total magnetization is 0.00 μB per cell. The value obtained for the formation enthalpy at 0 K is 0.1247 eV per atom.

(7)
The following is a GGA-PBE calculation of a relaxed structure of ZrPt5, from Alexandria via LeMat-Bulk.

a = 2.847 Å, b = 2.847 Å, c = 12.192 Å
α = 90.00°, β = 90.00°, γ = 90.00°
Positions (direct):
Zr: 0.000 0.000 0.000
Pt: 0.000 0.000 0.339
Pt: 0.000 0.000 0.661
Pt: 0.500 0.500 0.169
Pt: 0.500 0.500 0.500
Pt: 0.500 0.500 0.831

Values from the calculation:
Its total magnetization is 0.13 μB per cell. The value obtained for the formation enthalpy at 0 K is -0.3497 eV per atom.

(8)
The following is a GGA-PBE calculation of a relaxed structure of FeMoAs, from Alexandria via LeMat-Bulk.

a = 4.081 Å, b = 4.081 Å, c = 2.811 Å
α = 90.00°, β = 90.00°, γ = 120.00°
Positions (direct):
Fe: 0.000 0.000 0.000
Mo: 0.333 0.667 0.500
As: 0.667 0.333 0.000

Values from the calculation:
Its total magnetization is 0.00 μB per cell. The value obtained for the formation enthalpy at 0 K is 0.0227 eV per atom.

The highest total magnetization belongs to which entry?
AsOs3

Number 4 is which compound?
Li2Zn2In